An optimized crystal structure of Na2PaMoO8. Source: the Alexandria database, functional PBE+U.

Cell lengths 5.697, 5.697, 5.961 Å; angles 90.00, 90.00, 120.00 degrees
Each line ends with the local moment (μB).
Positions (direct):
1 Mo 0.000 0.000 0.000  -0.02
2 O 0.851 0.701 0.788  0.04
3 O 0.149 0.851 0.212  0.04
4 O 0.701 0.851 0.212  0.04
5 O 0.667 0.333 0.439  1.13
6 O 0.333 0.667 0.561  1.13
7 O 0.149 0.299 0.212  0.04
8 O 0.851 0.149 0.788  0.04
9 Na 0.333 0.667 0.956  0.01
10 Na 0.667 0.333 0.044  0.01
11 O 0.299 0.149 0.788  0.04
12 Pa 0.000 0.000 0.500  -0.06

Output
- Size of the total moment: 3.000 μB per cell
- DFT total energy: -6.321 eV per atom